Density functional theory data (PBE) for a geometry-optimized BeGaPF2 structure.

Lattice parameters (Å, degrees): 3.8349 5.3664 3.8349 90.00 90.00 90.00
Sites, in units of the cell vectors:
Be: 0.5000 0.5000 0.5000
F: 0.0000 0.0000 0.5000
P: 0.0000 0.0000 0.0000
F: 0.5000 0.0000 0.0000
Ga: 0.0000 0.5000 0.0000

Summary:
energy relative to the elements, uncorrected: -0.416 eV per atom
crystal system: tetragonal

---

Density functional theory data (PBE) for a geometry-optimized Mn2HOsRu structure.

Lattice parameters (Å, degrees): 3.7529 3.7529 3.7399 90.00 90.00 90.00
Site moments in Bohr magnetons follow the coordinates.
Sites, in units of the cell vectors:
Mn: 0.5000 0.0000 0.0000  1.10
Mn: 0.0000 0.5000 0.0000  1.10
H: 0.0000 0.0000 0.0000  -0.01
Os: 0.5000 0.5000 0.5000  -0.31
Ru: 0.0000 0.0000 0.5000  -0.23

Summary:
polymorph energy (0 for the lowest one): 0.000 eV/atom
crystal system: tetragonal

---

Density functional theory data (PBE) for a geometry-optimized Ac4CdPt structure.

Lattice parameters (Å, degrees): 10.6262 10.6262 10.6262 60.00 60.00 60.00
Sites, in units of the cell vectors:
Ac: 0.9423 0.9423 0.5577
Ac: 0.4008 0.4008 0.4008
Pt: 0.6066 0.6066 0.6066
Cd: 0.1707 0.1707 0.4878
Cd: 0.4878 0.1707 0.1707
Ac: 0.5577 0.9423 0.5577
Ac: 0.1865 0.1865 0.8135
Ac: 0.7975 0.4008 0.4008
Ac: 0.4008 0.7975 0.4008
Ac: 0.9423 0.5577 0.5577
Pt: 0.6066 0.1802 0.6066
Ac: 0.5577 0.5577 0.9423
Ac: 0.8135 0.1865 0.8135
Cd: 0.1707 0.4878 0.1707
Ac: 0.8135 0.8135 0.1865
Ac: 0.5577 0.9423 0.9423
Ac: 0.4008 0.4008 0.7975
Ac: 0.1865 0.8135 0.8135
Pt: 0.6066 0.6066 0.1802
Ac: 0.9423 0.5577 0.9423
Ac: 0.1865 0.8135 0.1865
Pt: 0.1802 0.6066 0.6066
Cd: 0.1707 0.1707 0.1707
Ac: 0.8135 0.1865 0.1865

Summary:
polymorph energy (0 for the lowest one): 0.000 eV/atom
crystal system: cubic

---

Density functional theory data (PBE) for a geometry-optimized Sr2LiZn3Pt4 structure.

Lattice parameters (Å, degrees): 4.2317 4.2317 11.0241 90.00 90.00 90.00
Sites, in units of the cell vectors:
Li: 0.5000 0.5000 0.5000
Pt: 0.0000 0.0000 0.0000
Pt: 0.5000 0.5000 0.0000
Pt: 0.5000 0.0000 0.6372
Sr: 0.5000 0.0000 0.2500
Pt: 0.0000 0.5000 0.3628
Zn: 0.5000 0.0000 0.8671
Zn: 0.0000 0.5000 0.1329
Sr: 0.0000 0.5000 0.7500
Zn: 0.0000 0.0000 0.5000

Summary:
calculated total energy: -4.015 eV per atom
crystal system: tetragonal

---

Density functional theory data (PBE) for a geometry-optimized MgMnS2N structure.

Lattice parameters (Å, degrees): 4.8251 4.8251 3.8623 90.00 90.00 90.00
Site moments in Bohr magnetons follow the coordinates.
Sites, in units of the cell vectors:
S: 0.0000 0.5000 0.0000  -0.04
Mg: 0.0000 0.0000 0.0000  0.00
Mn: 0.5000 0.5000 0.5000  4.43
N: 0.0000 0.0000 0.5000  0.25
S: 0.5000 0.0000 0.0000  -0.04

Summary:
polymorph energy (0 for the lowest one): 0.924 eV/atom
energy relative to the elements, uncorrected: 0.721 eV per atom
crystal system: tetragonal

---

Density functional theory data (PBE) for a geometry-optimized Sr2Cd5Pd3 structure.

Lattice parameters (Å, degrees): 4.6489 7.5567 13.6574 90.00 99.80 90.00
Sites, in units of the cell vectors:
Cd: 0.1274 0.2487 0.2547
Cd: 0.3994 0.4034 0.7988
Cd: 0.2928 0.9014 0.5856
Pd: 0.9527 0.4844 0.9053
Pd: 0.7671 0.7060 0.5341
Sr: 0.1759 0.7099 0.3518
Sr: 0.4760 0.7717 0.9520
Pd: 0.2329 0.2060 0.4659
Cd: 0.2921 0.5127 0.5842
Cd: 0.7079 0.0127 0.4158
Cd: 0.6006 0.9034 0.2012
Sr: 0.5240 0.2717 0.0480
Cd: 0.0535 0.5996 0.1070
Pd: 0.0473 0.9844 0.0947
Sr: 0.8241 0.2099 0.6482
Pd: 0.6105 0.5270 0.2209
Cd: 0.9465 0.0996 0.8930
Cd: 0.8726 0.7487 0.7453
Cd: 0.7072 0.4014 0.4144
Pd: 0.3895 0.0270 0.7791

Summary:
polymorph energy (0 for the lowest one): 0.000 eV/atom
crystal system: orthorhombic

---

Density functional theory data (PBE) for a geometry-optimized Li3GdBi2 structure.

Lattice parameters (Å, degrees): 4.6888 4.6888 7.3496 90.00 90.00 120.00
Site moments in Bohr magnetons follow the coordinates.
Sites, in units of the cell vectors:
Bi: 0.3333 0.6667 0.2478  -0.02
Li: 0.3333 0.6667 0.6505  0.00
Bi: 0.6667 0.3333 0.7522  -0.02
Li: 0.0000 0.0000 0.5000  0.00
Li: 0.6667 0.3333 0.3495  0.00
Gd: 0.0000 0.0000 0.0000  6.94

Summary:
calculated total energy: -5.278 eV per atom
crystal system: trigonal

---

Density functional theory data (PBE) for a geometry-optimized La3HgMo structure.

Lattice parameters (Å, degrees): 5.4984 5.4984 5.4984 90.00 90.00 90.00
Sites, in units of the cell vectors:
Mo: 0.0000 0.0000 0.0000
La: 0.0000 0.5000 0.0000
Hg: 0.5000 0.5000 0.5000
La: 0.0000 0.0000 0.5000
La: 0.5000 0.0000 0.0000

Summary:
polymorph energy (0 for the lowest one): 0.000 eV/atom
crystal system: cubic

---

Density functional theory data (PBE) for a geometry-optimized GaCuRh structure.

Lattice parameters (Å, degrees): 3.5709 3.5709 6.5548 90.54 90.54 89.99
Sites, in units of the cell vectors:
Cu: 0.2499 0.7501 0.0000
Cu: 0.7501 0.2499 0.0000
Ga: 0.2446 0.2446 0.7182
Ga: 0.7554 0.7554 0.2818
Rh: 0.7436 0.7436 0.6636
Rh: 0.2564 0.2564 0.3365

Summary:
polymorph energy (0 for the lowest one): 0.007 eV/atom
crystal system: monoclinic

---

Density functional theory data (PBE) for a geometry-optimized Ac2Sn3Pb2 structure.

Lattice parameters (Å, degrees): 8.5316 8.5316 8.5316 109.47 109.47 109.47
Sites, in units of the cell vectors:
Sn: 0.2500 0.9959 0.2459
Sn: 0.7500 0.5041 0.2541
Pb: 0.0000 0.0000 0.8753
Sn: 0.0041 0.2541 0.2500
Ac: 0.0000 0.0000 0.4830
Ac: 0.5000 0.4830 0.5000
Pb: 0.5000 0.8753 0.5000
Sn: 0.4959 0.2459 0.7500
Ac: 0.9830 0.5000 0.0000
Sn: 0.7459 0.7500 0.9959
Ac: 0.5170 0.0170 0.0170
Sn: 0.7541 0.2500 0.5041
Pb: 0.1247 0.6247 0.6247
Pb: 0.3753 0.5000 0.0000

Summary:
calculated total energy: -4.305 eV per atom
crystal system: cubic

---

Density functional theory data (PBE) for a geometry-optimized Pm2TmMg3 structure.

Lattice parameters (Å, degrees): 3.8168 3.8168 11.5214 90.00 90.00 90.00
Sites, in units of the cell vectors:
Pm: 0.5000 0.5000 0.8291
Pm: 0.5000 0.5000 0.1709
Mg: 0.0000 0.0000 0.0000
Mg: 0.0000 0.0000 0.6582
Mg: 0.0000 0.0000 0.3418
Tm: 0.5000 0.5000 0.5000

Summary:
calculated total energy: -3.213 eV per atom
crystal system: tetragonal

---

Density functional theory data (PBE) for a geometry-optimized Nb3IrS8 structure.

Lattice parameters (Å, degrees): 6.6849 6.6849 8.8066 55.64 55.64 60.01
Sites, in units of the cell vectors:
S: 0.4488 0.4488 0.7669
Nb: 0.5000 0.0000 0.0000
Nb: 0.5000 0.5000 0.0000
S: 0.9527 0.4388 0.7686
S: 0.4388 0.9527 0.7686
S: 0.0472 0.0472 0.2316
S: 0.5512 0.5512 0.2331
S: 0.5612 0.0473 0.2314
S: 0.9528 0.9528 0.7684
S: 0.0473 0.5612 0.2314
Nb: 0.0000 0.5000 0.0000
Ir: 0.0000 0.0000 0.0000

Summary:
polymorph energy (0 for the lowest one): 0.054 eV/atom
energy relative to the elements, uncorrected: -0.790 eV per atom
crystal system: monoclinic

---

Number 1: V 78.9 Å³/cell. Number 2: V 52.7 Å³/cell. Number 3: V 848.4 Å³/cell. Number 4: V 197.4 Å³/cell. Number 5: V 89.9 Å³/cell. Number 6: V 472.8 Å³/cell. Number 7: V 139.9 Å³/cell. Number 8: V 166.2 Å³/cell. Number 9: V 83.6 Å³/cell. Number 10: V 478.0 Å³/cell. Number 11: V 167.8 Å³/cell. Number 12: V 258.5 Å³/cell.